Record 1
Compound: LaTcNO
Source: the Open Quantum Materials Database
Functional: PBE-GGA
Structure: optimized geometry

It has space group Pmc2_1 (No. 26), with a = 3.993 Å, b = 5.502 Å, c = 5.442 Å, α = 90.00°, β = 90.00° and γ = 90.00°. The inequivalent atoms are La at (0.000, 0.247, 0.000), Tc at (0.500, 0.241, 0.495), N at (0.500, 0.002, 0.747) and O at (0.000, 0.330, 0.490).

The density comes out at 7.4 g/cm3. For the energy above the lowest structure with this stoichiometry, the calculation gives 212 meV/atom.

---

Record 2
Compound: LiNiAsPt
Source: the Open Quantum Materials Database
Functional: PBE-GGA
Structure: optimized geometry

It has space group F-43m (No. 216), with a = 5.964 Å, b = 5.964 Å, c = 5.964 Å, α = 90.00°, β = 90.00° and γ = 90.00°. The inequivalent atoms are Li at (0.000, 0.000, 0.000), Ni at (0.250, 0.250, 0.750), As at (0.000, 0.000, 0.500) and Pt at (0.250, 0.250, 0.250).

The density comes out at 10.5 g/cm3. For the energy above the lowest structure with this stoichiometry, the calculation gives 0 meV/atom.

---

Record 3
Compound: B2Mo2Au
Source: the Open Quantum Materials Database
Functional: PBE-GGA
Structure: optimized geometry

It has space group Cmmm (No. 65), with a = 3.066 Å, b = 12.471 Å, c = 3.154 Å, α = 90.00°, β = 90.00° and γ = 90.00°. The inequivalent atoms are B at (0.000, 0.212, 0.000), Mo at (0.000, 0.347, 0.500) and Au at (0.000, 0.000, 0.000).

The density comes out at 11.3 g/cm3. As for the energy: -78.869 eV for the cell shown.

---

Record 4
Compound: RbHoHgTe3
Source: the Open Quantum Materials Database
Functional: PBE-GGA
Structure: optimized geometry

It has space group P2_1/m (No. 11), with a = 9.295 Å, b = 4.491 Å, c = 11.259 Å, α = 90.00°, β = 109.64° and γ = 90.00°. The inequivalent atoms are Rb at (0.245, 0.250, 0.281), Ho at (0.322, 0.750, 0.864), Hg at (0.081, 0.250, 0.619), Te at (0.090, 0.250, 0.870), Te at (0.247, 0.750, 0.562) and Te at (0.457, 0.750, 0.148).

The density comes out at 6.3 g/cm3. As for the energy: -41.873 eV for the cell shown.

---

Record 5
Compound: K2Lu2O5
Source: the Open Quantum Materials Database
Functional: PBE-GGA
Structure: optimized geometry

It has space group P4/mmm (No. 123), with a = 4.164 Å, b = 4.164 Å, c = 8.943 Å, α = 90.00°, β = 90.00° and γ = 90.00°. The inequivalent atoms are K at (0.000, 0.000, 0.000), K at (0.000, 0.000, 0.500), Lu at (0.500, 0.500, 0.230), O at (0.000, 0.500, 0.289) and O at (0.500, 0.500, 0.000).

The density comes out at 5.4 g/cm3. For the energy above the lowest structure with this stoichiometry, the calculation gives 0 meV/atom.

---

Record 6
Compound: CdO
Source: the Open Quantum Materials Database
Functional: PBE-GGA
Structure: optimized geometry

It has space group Cmc2_1 (No. 36), with a = 3.852 Å, b = 6.054 Å, c = 5.561 Å, α = 90.00°, β = 90.00° and γ = 90.00°. The inequivalent atoms are Cd at (0.000, 0.176, 0.000) and O at (0.000, 0.177, 0.403).

The density comes out at 6.6 g/cm3. As for the energy: -31.428 eV for the cell shown.